(1)
## Mn2ReSnPd (GGA-PBE)

Data for an optimized crystal structure of Mn2ReSnPd.

Results
The calculation puts the total energy at -0.5125 Ry/atom. As for the energy of formation: 5.12 eV/f.u.

abc: 4.5918 4.9864 4.5918
angles: 90.00 90.00 90.00
With the nearest neighbours (Å) after each atom.
Atoms (fractional coordinates):
Re: 0.0000 0.0000 0.0000  4 Mn 2.30, 2 Pd 2.49
Mn: 0.0000 0.0000 0.5000  2 Re 2.30
Mn: 0.5000 0.0000 0.0000  2 Re 2.30
Sn: 0.5000 0.5000 0.5000  4 Pd 3.25, 8 Mn 3.39
Pd: 0.0000 0.5000 0.0000  2 Re 2.49

(2)
## SrHgOs2 (GGA-PBE)

Data for an optimized crystal structure of SrHgOs2.

Results
The calculation puts the total energy at -0.3784 Ry/atom. As for the energy of formation: 3.85 eV/f.u.

abc: 2.8617 4.5893 6.4115
angles: 90.00 90.00 90.00
With the nearest neighbours (Å) after each atom.
Atoms (fractional coordinates):
Hg: 0.5000 0.5000 0.7500  2 Hg 2.86, 8 Os 2.96
Os: 0.0000 0.0000 0.9359  1 Os 2.38
Os: 0.0000 0.0000 0.5641  1 Os 2.38
Sr: 0.5000 0.5000 0.2500  2 Sr 2.86

(3)
## Ba2Ag3Bi2 (GGA-PBE)

Data for an optimized crystal structure of Ba2Ag3Bi2.

Results
The calculation puts the total energy at -0.2419 Ry/atom. As for the energy of formation: -2.87 eV/f.u.

abc: 5.0103 6.6680 7.5048
angles: 109.78 90.00 112.07
With the nearest neighbours (Å) after each atom.
Atoms (fractional coordinates):
Ba: 0.8561 0.7121 0.2459  4 Ag 3.45-3.66, 5 Bi 3.59-3.79
Ba: 0.1439 0.2879 0.7541  4 Ag 3.45-3.66, 5 Bi 3.59-3.79
Ag: 0.5000 0.0000 0.0000  2 Ag 2.91
Ag: 0.5873 0.1746 0.4168  2 Ag 2.86-2.91, 2 Bi 3.01
Ag: 0.4127 0.8254 0.5832  2 Ag 2.86-2.91, 2 Bi 3.01
Bi: 0.8501 0.7001 0.7474  5 Ag 3.01-3.29
Bi: 0.1499 0.2999 0.2526  5 Ag 3.01-3.29

(4)
## Y4Zn3Pb (GGA-PBE)

Data for an optimized crystal structure of Y4Zn3Pb.

Results
The calculation puts the total energy at -0.3356 Ry/atom. As for the energy of formation: -3.15 eV/f.u.

abc: 5.1395 5.1395 9.0227
angles: 73.45 73.45 60.00
With the nearest neighbours (Å) after each atom.
Atoms (fractional coordinates):
Y: 0.8706 0.8706 0.3883  7 Zn 2.96-3.15, 1 Pb 3.31
Y: 0.3804 0.3804 0.8589  4 Zn 3.06-3.15, 3 Pb 3.20
Y: 0.1294 0.1294 0.6117  7 Zn 2.96-3.15, 1 Pb 3.31
Y: 0.6196 0.6196 0.1411  4 Zn 3.06-3.15, 3 Pb 3.20
Pb: 0.0000 0.0000 0.0000  8 Y 3.20-3.31
Zn: 0.2454 0.2454 0.2639  7 Y 2.96-3.15
Zn: 0.7546 0.7546 0.7361  7 Y 2.96-3.15
Zn: 0.5000 0.5000 0.5000  8 Y 3.06-3.12

(5)
## FeSI (GGA-PBE)

Data for an optimized crystal structure of FeSI.

Results
The calculation puts the total energy at -0.3488 Ry/atom. The energy relative to the elements, uncorrected is -33 meV per atom.

abc: 6.3258 6.2997 7.3846
angles: 101.32 90.00 90.00
With the nearest neighbours (Å) after each atom.
Atoms (fractional coordinates):
Fe: 0.5640 0.3318 0.5877  3 S 2.23-2.34
Fe: 0.0640 0.6682 0.9123  3 S 2.23-2.34
Fe: 0.4360 0.6682 0.4123  3 S 2.23-2.34
Fe: 0.9360 0.3318 0.0877  3 S 2.23-2.34
I: 0.7440 0.9323 0.5650  2 Fe 2.66-2.74
I: 0.7560 0.9323 0.0650  2 Fe 2.66-2.74
I: 0.2560 0.0677 0.4350  2 Fe 2.66-2.74
I: 0.2440 0.0677 0.9350  2 Fe 2.66-2.74
S: 0.1908 0.5758 0.1722  3 Fe 2.23-2.34
S: 0.3092 0.5758 0.6722  3 Fe 2.23-2.34
S: 0.8092 0.4242 0.8278  3 Fe 2.23-2.34
S: 0.6908 0.4242 0.3278  3 Fe 2.23-2.34

(6)
## InPt (GGA-PBE)

Data for an optimized crystal structure of InPt.

Results
The calculation puts the total energy at -0.3505 Ry/atom. As for the energy of formation: -0.76 eV/f.u.

abc: 5.3932 5.3932 5.3932
angles: 136.75 136.69 62.87
With the nearest neighbours (Å) after each atom.
Atoms (fractional coordinates):
In: 0.9999 0.9999 0.0000  8 Pt 2.81-3.04, 4 In 3.04
In: 0.2501 0.7501 0.5000  8 Pt 2.81-3.04, 4 In 3.04
Pt: 0.5000 0.5000 0.0000  8 In 2.81-3.04, 4 Pt 3.04
Pt: 0.7500 0.2500 0.5000  8 In 2.81-3.04, 4 Pt 3.04

Number 1: magnetic moment 5.5 Bohr magnetons per cell. Number 2: magnetic moment 0.0 Bohr magnetons per cell. Number 3: magnetic moment 0.0 Bohr magnetons per cell. Number 4: magnetic moment 0.0 Bohr magnetons per cell. Number 5: magnetic moment 12.2 Bohr magnetons per cell. Number 6: magnetic moment 0.0 Bohr magnetons per cell.